A relaxed structure of ScCd6Ag. Source: Alexandria via LeMat-Bulk, functional PBE.

a = 4.562 Å, b = 4.562 Å, c = 8.150 Å
α = 90.00°, β = 90.00°, γ = 90.00°
Positions (direct):
Sc  0.000  0.000  0.000
Cd  0.500  0.500  0.000
Cd  0.500  0.500  0.500
Cd  0.500  0.000  0.256
Cd  0.500  0.000  0.744
Cd  0.000  0.500  0.256
Cd  0.000  0.500  0.744
Ag  0.000  0.000  0.500

Computed properties:
Space group   P4/mmm, No. 123
Energy relative to the elements   -115 meV per atom
Final energy   -15.60 eV per cell
Magnetic moment   0.0000 μB/atom
Density   8.100 Mg/m³
Calculated volume   170 Å³/cell